#one
First-principles (GGA-PBE) data for a relaxed Tl2CrBr crystal, as listed in Alexandria.

The structure in CIF format:
```
data_Tl2CrBr
_symmetry_space_group_name_H-M 'P 1'
_symmetry_Int_Tables_number 1
_cell_length_a 3.5116
_cell_length_b 5.5299
_cell_length_c 5.5299
_cell_angle_alpha 90.00
_cell_angle_beta 90.00
_cell_angle_gamma 90.00
loop_
_symmetry_equiv_pos_as_xyz
'x,y,z'
loop_
_atom_site_label
_atom_site_type_symbol
_atom_site_fract_x
_atom_site_fract_y
_atom_site_fract_z
Cr1 Cr 0.5000 0.0000 0.5000
Br1 Br 0.5000 0.5000 0.0000
Tl1 Tl 0.0000 0.0000 0.0000
Tl2 Tl 0.0000 0.5000 0.5000
```

Values from the calculation:
DOS at the Fermi energy	0.6186	states/eV per atom
crystal system	tetragonal



#two
First-principles (GGA-PBE) data for a relaxed Tl2CrBr crystal, as listed in Alexandria.

The structure in CIF format:
```
data_Tl2CrBr
_symmetry_space_group_name_H-M 'P 1'
_symmetry_Int_Tables_number 1
_cell_length_a 3.8124
_cell_length_b 3.8128
_cell_length_c 7.5336
_cell_angle_alpha 90.00
_cell_angle_beta 90.00
_cell_angle_gamma 90.00
loop_
_symmetry_equiv_pos_as_xyz
'x,y,z'
loop_
_atom_site_label
_atom_site_type_symbol
_atom_site_fract_x
_atom_site_fract_y
_atom_site_fract_z
Br1 Br 0.5000 0.5000 0.2500
Tl1 Tl 0.0000 0.0000 0.5300
Tl2 Tl 0.0000 0.0000 0.9700
Cr1 Cr 0.5000 0.5000 0.7500
```

Values from the calculation:
DOS at the Fermi energy	0.4331	states/eV per atom
crystal system	tetragonal



#three
First-principles (GGA-PBE) data for a relaxed Tl2CrBr crystal, as listed in Alexandria.

The structure in CIF format:
```
data_Tl2CrBr
_symmetry_space_group_name_H-M 'P 1'
_symmetry_Int_Tables_number 1
_cell_length_a 8.1319
_cell_length_b 5.5508
_cell_length_c 3.5208
_cell_angle_alpha 89.89
_cell_angle_beta 64.52
_cell_angle_gamma 126.59
loop_
_symmetry_equiv_pos_as_xyz
'x,y,z'
loop_
_atom_site_label
_atom_site_type_symbol
_atom_site_fract_x
_atom_site_fract_y
_atom_site_fract_z
Cr1 Cr 0.5000 0.5000 0.0000
Br1 Br 0.0000 0.5000 0.5000
Tl1 Tl 0.5000 0.0000 0.5000
Tl2 Tl 0.0000 0.0000 0.0000
```

Values from the calculation:
DOS at the Fermi energy	0.4704	states/eV per atom
crystal system	monoclinic



Stability order, top to bottom: #three, #one, #two